[1]
# Nb2CrGaH | the Alexandria database | PBE | relaxed
# space-group type	P4/mmm
data_Nb2CrGaH
_space_group_name_H-M_alt 'P 1'
_space_group_IT_number 1
_cell_length_a 4.1715
_cell_length_b 4.1715
_cell_length_c 3.7458
_cell_angle_alpha 90.00
_cell_angle_beta 90.00
_cell_angle_gamma 90.00
loop_
_space_group_symop_operation_xyz
'x,y,z'
loop_
_atom_site_label
_atom_site_type_symbol
_atom_site_fract_x
_atom_site_fract_y
_atom_site_fract_z
_atom_site_occupancy
Nb1 Nb 0.0000 0.5000 0.0000 1
Nb2 Nb 0.5000 0.0000 0.0000 1
Cr1 Cr 0.0000 0.0000 0.5000 1
H1 H 0.0000 0.0000 0.0000 1
Ga1 Ga 0.5000 0.5000 0.5000 1



[2]
# Cr2GaNiH | the Alexandria database | PBE | relaxed
# space-group type	P4/mmm
data_Cr2GaNiH
_space_group_name_H-M_alt 'P 1'
_space_group_IT_number 1
_cell_length_a 3.5482
_cell_length_b 3.5482
_cell_length_c 4.0070
_cell_angle_alpha 90.00
_cell_angle_beta 90.00
_cell_angle_gamma 90.00
loop_
_space_group_symop_operation_xyz
'x,y,z'
loop_
_atom_site_label
_atom_site_type_symbol
_atom_site_fract_x
_atom_site_fract_y
_atom_site_fract_z
_atom_site_occupancy
H1 H 0.0000 0.0000 0.0000 1
Ga1 Ga 0.5000 0.5000 0.5000 1
Cr1 Cr 0.0000 0.5000 0.0000 1
Cr2 Cr 0.5000 0.0000 0.0000 1
Ni1 Ni 0.0000 0.0000 0.5000 1



[3]
# CrGaNi2H | the Alexandria database | PBE | relaxed
# space-group type	P4/mmm
data_CrGaNi2H
_space_group_name_H-M_alt 'P 1'
_space_group_IT_number 1
_cell_length_a 3.7094
_cell_length_b 3.7094
_cell_length_c 3.7540
_cell_angle_alpha 90.00
_cell_angle_beta 90.00
_cell_angle_gamma 90.00
loop_
_space_group_symop_operation_xyz
'x,y,z'
loop_
_atom_site_label
_atom_site_type_symbol
_atom_site_fract_x
_atom_site_fract_y
_atom_site_fract_z
_atom_site_occupancy
Cr1 Cr 0.0000 0.0000 0.5000 1
Ni1 Ni 0.0000 0.5000 0.0000 1
Ni2 Ni 0.5000 0.0000 0.0000 1
H1 H 0.0000 0.0000 0.0000 1
Ga1 Ga 0.5000 0.5000 0.5000 1



[4]
# Cr2GaHOs | the Alexandria database | PBE | relaxed
# space-group type	P4/mmm
data_Cr2GaHOs
_space_group_name_H-M_alt 'P 1'
_space_group_IT_number 1
_cell_length_a 4.7612
_cell_length_b 2.9993
_cell_length_c 4.7612
_cell_angle_alpha 90.00
_cell_angle_beta 90.00
_cell_angle_gamma 90.00
loop_
_space_group_symop_operation_xyz
'x,y,z'
loop_
_atom_site_label
_atom_site_type_symbol
_atom_site_fract_x
_atom_site_fract_y
_atom_site_fract_z
_atom_site_occupancy
Ga1 Ga 0.0000 0.0000 0.0000 1
Cr1 Cr 0.5000 0.0000 0.0000 1
Cr2 Cr 0.0000 0.0000 0.5000 1
H1 H 0.0000 0.5000 0.0000 1
Os1 Os 0.5000 0.5000 0.5000 1



[5]
# CrGaHPt2 | the Alexandria database | PBE | relaxed
# space-group type	P4/mmm
data_CrGaHPt2
_space_group_name_H-M_alt 'P 1'
_space_group_IT_number 1
_cell_length_a 4.0080
_cell_length_b 4.0080
_cell_length_c 3.9435
_cell_angle_alpha 90.00
_cell_angle_beta 90.00
_cell_angle_gamma 90.00
loop_
_space_group_symop_operation_xyz
'x,y,z'
loop_
_atom_site_label
_atom_site_type_symbol
_atom_site_fract_x
_atom_site_fract_y
_atom_site_fract_z
_atom_site_occupancy
Cr1 Cr 0.0000 0.0000 0.5000 1
Pt1 Pt 0.0000 0.5000 0.0000 1
Pt2 Pt 0.5000 0.0000 0.0000 1
H1 H 0.0000 0.0000 0.0000 1
Ga1 Ga 0.5000 0.5000 0.5000 1



[6]
# Cr2GaHRh | the Alexandria database | PBE | relaxed
# space-group type	P4/mmm
data_Cr2GaHRh
_space_group_name_H-M_alt 'P 1'
_space_group_IT_number 1
_cell_length_a 3.5790
_cell_length_b 3.5790
_cell_length_c 4.2426
_cell_angle_alpha 90.00
_cell_angle_beta 90.00
_cell_angle_gamma 90.00
loop_
_space_group_symop_operation_xyz
'x,y,z'
loop_
_atom_site_label
_atom_site_type_symbol
_atom_site_fract_x
_atom_site_fract_y
_atom_site_fract_z
_atom_site_occupancy
Cr1 Cr 0.0000 0.5000 0.0000 1
Cr2 Cr 0.5000 0.0000 0.0000 1
Rh1 Rh 0.0000 0.0000 0.5000 1
Ga1 Ga 0.5000 0.5000 0.5000 1
H1 H 0.0000 0.0000 0.0000 1



[7]
# CrGa2HRu | the Alexandria database | PBE | relaxed
# space-group type	P4/mmm
data_CrGa2HRu
_space_group_name_H-M_alt 'P 1'
_space_group_IT_number 1
_cell_length_a 4.2560
_cell_length_b 3.3604
_cell_length_c 4.2560
_cell_angle_alpha 90.00
_cell_angle_beta 90.00
_cell_angle_gamma 90.00
loop_
_space_group_symop_operation_xyz
'x,y,z'
loop_
_atom_site_label
_atom_site_type_symbol
_atom_site_fract_x
_atom_site_fract_y
_atom_site_fract_z
_atom_site_occupancy
Cr1 Cr 0.5000 0.5000 0.5000 1
Ru1 Ru 0.0000 0.5000 0.0000 1
Ga1 Ga 0.5000 0.0000 0.0000 1
Ga2 Ga 0.0000 0.0000 0.5000 1
H1 H 0.0000 0.0000 0.0000 1



[8]
# CrGaSbH2 | the Alexandria database | PBE | relaxed
# space-group type	P4/mmm
data_CrGaSbH2
_space_group_name_H-M_alt 'P 1'
_space_group_IT_number 1
_cell_length_a 3.6578
_cell_length_b 6.0074
_cell_length_c 3.6578
_cell_angle_alpha 90.00
_cell_angle_beta 90.00
_cell_angle_gamma 90.00
loop_
_space_group_symop_operation_xyz
'x,y,z'
loop_
_atom_site_label
_atom_site_type_symbol
_atom_site_fract_x
_atom_site_fract_y
_atom_site_fract_z
_atom_site_occupancy
Sb1 Sb 0.5000 0.5000 0.5000 1
Ga1 Ga 0.0000 0.0000 0.0000 1
H1 H 0.5000 0.0000 0.0000 1
H2 H 0.0000 0.0000 0.5000 1
Cr1 Cr 0.0000 0.5000 0.0000 1



[9]
# Cr2GaSnH | the Alexandria database | PBE | relaxed
# space-group type	P4/mmm
data_Cr2GaSnH
_space_group_name_H-M_alt 'P 1'
_space_group_IT_number 1
_cell_length_a 5.0031
_cell_length_b 3.3145
_cell_length_c 5.0031
_cell_angle_alpha 90.00
_cell_angle_beta 90.00
_cell_angle_gamma 90.00
loop_
_space_group_symop_operation_xyz
'x,y,z'
loop_
_atom_site_label
_atom_site_type_symbol
_atom_site_fract_x
_atom_site_fract_y
_atom_site_fract_z
_atom_site_occupancy
Ga1 Ga 0.0000 0.0000 0.0000 1
Cr1 Cr 0.5000 0.0000 0.0000 1
Cr2 Cr 0.0000 0.0000 0.5000 1
Sn1 Sn 0.5000 0.5000 0.5000 1
H1 H 0.0000 0.5000 0.0000 1



[10]
# Ta2CrGaH | the Alexandria database | PBE | relaxed
# space-group type	P4/mmm
data_Ta2CrGaH
_space_group_name_H-M_alt 'P 1'
_space_group_IT_number 1
_cell_length_a 4.1636
_cell_length_b 4.1636
_cell_length_c 3.7412
_cell_angle_alpha 90.00
_cell_angle_beta 90.00
_cell_angle_gamma 90.00
loop_
_space_group_symop_operation_xyz
'x,y,z'
loop_
_atom_site_label
_atom_site_type_symbol
_atom_site_fract_x
_atom_site_fract_y
_atom_site_fract_z
_atom_site_occupancy
Ta1 Ta 0.5000 0.0000 0.0000 1
Ta2 Ta 0.0000 0.5000 0.0000 1
Cr1 Cr 0.0000 0.0000 0.5000 1
Ga1 Ga 0.5000 0.5000 0.5000 1
H1 H 0.0000 0.0000 0.0000 1



[11]
# Cr2GaTcH | the Alexandria database | PBE | relaxed
# space-group type	P4/mmm
data_Cr2GaTcH
_space_group_name_H-M_alt 'P 1'
_space_group_IT_number 1
_cell_length_a 3.7799
_cell_length_b 3.7799
_cell_length_c 3.8655
_cell_angle_alpha 90.00
_cell_angle_beta 90.00
_cell_angle_gamma 90.00
loop_
_space_group_symop_operation_xyz
'x,y,z'
loop_
_atom_site_label
_atom_site_type_symbol
_atom_site_fract_x
_atom_site_fract_y
_atom_site_fract_z
_atom_site_occupancy
Cr1 Cr 0.5000 0.0000 0.0000 1
Cr2 Cr 0.0000 0.5000 0.0000 1
H1 H 0.0000 0.0000 0.0000 1
Tc1 Tc 0.0000 0.0000 0.5000 1
Ga1 Ga 0.5000 0.5000 0.5000 1



[12]
# CrGaTeH2 | the Alexandria database | PBE | relaxed
# space-group type	P4/mmm
data_CrGaTeH2
_space_group_name_H-M_alt 'P 1'
_space_group_IT_number 1
_cell_length_a 3.8303
_cell_length_b 5.6616
_cell_length_c 3.8303
_cell_angle_alpha 90.00
_cell_angle_beta 90.00
_cell_angle_gamma 90.00
loop_
_space_group_symop_operation_xyz
'x,y,z'
loop_
_atom_site_label
_atom_site_type_symbol
_atom_site_fract_x
_atom_site_fract_y
_atom_site_fract_z
_atom_site_occupancy
H1 H 0.0000 0.0000 0.5000 1
H2 H 0.5000 0.0000 0.0000 1
Ga1 Ga 0.5000 0.5000 0.5000 1
Te1 Te 0.0000 0.0000 0.0000 1
Cr1 Cr 0.0000 0.5000 0.0000 1



For reference, total DFT energy (no corrections) by record: -7.35; -6.30; -5.65; -6.26; -5.83; -6.63; -5.56; -4.22; -5.22; -7.99; -7.12; -3.97 eV per atom.